Entry 1:
Here is ScVCoNi after structural relaxation from Alexandria. Energies are from GGA-PBE.

abc: 4.282 4.282 4.282
angles: 60.00 60.00 60.00
Fractional positions:
1 Sc 0.000 0.000 0.000
2 V 0.500 0.500 0.500
3 Co 0.250 0.250 0.250
4 Ni 0.750 0.750 0.750

Calculated values
SG = No. 216
Mass density = 6.39 g/cm³
Calculated formation energy = -0.549 eV per formula unit

---

Entry 2:
Here is Sc2VCoNi after structural relaxation from Alexandria. Energies are from GGA-PBE.

abc: 4.828 4.828 4.278
angles: 90.00 90.00 90.00
Fractional positions:
1 Sc 0.000 0.500 0.000
2 Sc 0.500 0.000 0.000
3 V 0.000 0.000 0.500
4 Co 0.500 0.500 0.500
5 Ni 0.000 0.000 0.000

Calculated values
SG = No. 123
Mass density = 4.30 g/cm³
Calculated formation energy = 2.847 eV per formula unit

---

Entry 3:
Here is ScV2CoNi after structural relaxation from Alexandria. Energies are from GGA-PBE.

abc: 4.275 4.275 4.520
angles: 90.00 90.00 90.00
Fractional positions:
1 Sc 0.000 0.000 0.000
2 V 0.000 0.500 0.500
3 V 0.500 0.000 0.500
4 Co 0.500 0.500 0.500
5 Ni 0.500 0.500 0.000

Calculated values
SG = No. 123
Mass density = 5.32 g/cm³
Calculated formation energy = 2.442 eV per formula unit